# 1
# K2ThHgI6

A geometry-optimized K2ThHgI6 structure (PBE, Alexandria).

```
data_K2ThHgI6
_space_group_name_H-M_alt 'R 3'
_space_group_IT_number 146
_space_group_name_Hall 'R 3'
_cell_length_a 8.7828
_cell_length_b 8.7828
_cell_length_c 24.6040
_cell_angle_alpha 90.00
_cell_angle_beta 90.00
_cell_angle_gamma 120.00
loop_
_atom_site_label
_atom_site_type_symbol
_atom_site_fract_x
_atom_site_fract_y
_atom_site_fract_z
_atom_site_occupancy
K1 K 0.0000 0.0000 0.0000 1
K2 K 0.0000 0.0000 0.4758 1
Th1 Th 0.0000 0.0000 0.6599 1
Hg1 Hg 0.0000 0.0000 0.1648 1
I1 I 0.0301 0.7340 0.5854 1
I2 I 0.0532 0.3708 0.3984 1
```

Summary:
**Total magnetic moment**: 0.00 Bohr magnetons per cell
**Total DFT energy (no corrections)**: -0.115 Ha/atom
**Fermi-level density of states**: 0.000 states/eV per atom


# 2
# Tl4AgBr

A geometry-optimized Tl4AgBr structure (PBE, Alexandria).

```
data_Tl4AgBr
_space_group_name_H-M_alt 'F -4 3 m'
_space_group_IT_number 216
_space_group_name_Hall 'F -4 2 3'
_cell_length_a 9.1629
_cell_length_b 9.1629
_cell_length_c 9.1629
_cell_angle_alpha 90.00
_cell_angle_beta 90.00
_cell_angle_gamma 90.00
loop_
_atom_site_label
_atom_site_type_symbol
_atom_site_fract_x
_atom_site_fract_y
_atom_site_fract_z
_atom_site_occupancy
Tl1 Tl 0.1248 0.1248 0.1248 1
Ag1 Ag 0.2500 0.2500 0.7500 1
Br1 Br 0.0000 0.0000 0.5000 1
```

Summary:
**Total magnetic moment**: 0.00 Bohr magnetons per cell
**Total DFT energy (no corrections)**: -0.082 Ha/atom
**Fermi-level density of states**: 0.446 states/eV per atom


# 3
# Tl2HgAu

A geometry-optimized Tl2HgAu structure (PBE, Alexandria).

```
data_Tl2HgAu
_space_group_name_H-M_alt 'C 1 m 1'
_space_group_IT_number 8
_cell_length_a 12.4408
_cell_length_b 3.4795
_cell_length_c 5.3969
_cell_angle_alpha 90.00
_cell_angle_beta 113.68
_cell_angle_gamma 90.00
loop_
_space_group_symop_operation_xyz
'x,y,z'
'x,-y,z'
'x+1/2,y+1/2,z'
'x+1/2,-y+1/2,z'
loop_
_atom_site_label
_atom_site_type_symbol
_atom_site_fract_x
_atom_site_fract_y
_atom_site_fract_z
_atom_site_occupancy
Tl1 Tl 0.0000 0.0000 0.0000 1
Tl2 Tl 0.2135 0.0000 0.6999 1
Hg1 Hg 0.2758 0.5000 0.2596 1
Au1 Au 0.4913 0.0000 0.4950 1
```

Summary:
**Total magnetic moment**: 0.00 Bohr magnetons per cell
**Relative energy among the computed polymorphs**: 24 meV per atom
**Fermi-level density of states**: 0.259 states/eV per atom
**DFT formation energy**: 0.00 kcal/mol of atoms


# 4
# ZrRh3N

A geometry-optimized ZrRh3N structure (PBE, Alexandria).

```
data_ZrRh3N
_space_group_name_H-M_alt 'P m -3 m'
_space_group_IT_number 221
_space_group_name_Hall '-P 4 2 3'
_cell_length_a 4.1409
_cell_length_b 4.1409
_cell_length_c 4.1409
_cell_angle_alpha 90.00
_cell_angle_beta 90.00
_cell_angle_gamma 90.00
loop_
_atom_site_label
_atom_site_type_symbol
_atom_site_fract_x
_atom_site_fract_y
_atom_site_fract_z
_atom_site_occupancy
Zr1 Zr 0.0000 0.0000 0.0000 1
Rh1 Rh 0.0000 0.5000 0.5000 1
N1 N 0.5000 0.5000 0.5000 1
```

Summary:
**Total magnetic moment**: 0.00 Bohr magnetons per cell
**Relative energy among the computed polymorphs**: 0 meV per atom
**Fermi-level density of states**: 0.855 states/eV per atom